Below is AcPaC2 after structural relaxation, with properties calculated at the PBE level.

a = 6.699 Å, b = 6.699 Å, c = 6.699 Å
α = 32.19°, β = 32.19°, γ = 32.19°
Atoms (fractional coordinates):
Ac  0.000  0.000  0.000
Pa  0.833  0.833  0.833
C  0.229  0.229  0.229
C  0.430  0.430  0.430

Summary:
ΔE to the lowest computed polymorph   67 meV per atom
E_tot   -32.03 eV per cell